1.
## Fe2SeBr (PBE-GGA)

Data for Fe2SeBr after structural relaxation.

Values from the calculation:
ΔE_f (raw) = 0.3322 eV per atom
V = 145.32 Å³ per cell

Geometry as CIF:
```
data_Fe2SeBr
_chemical_formula_sum 'Fe4 Se2 Br2'
_cell_length_a 4.642
_cell_length_b 4.669
_cell_length_c 6.705
_cell_angle_alpha 90.00
_cell_angle_beta 90.00
_cell_angle_gamma 90.00
_symmetry_space_group_name_H-M 'C m m m'
_symmetry_Int_Tables_number 65
_symmetry_space_group_name_Hall '-C 2 2'
loop_
_atom_site_label
_atom_site_type_symbol
_atom_site_fract_x
_atom_site_fract_y
_atom_site_fract_z
_atom_site_occupancy
Fe1 Fe 0.000 0.000 0.184 1
Se1 Se 0.000 0.500 0.000 1
Br1 Br 0.000 0.500 0.500 1
```

2.
## PmCdIn2 (PBE-GGA)

Data for PmCdIn2 after structural relaxation.

Values from the calculation:
formation enthalpy at 0 K = -0.22 eV/atom
V = 416.95 Å³ per cell

Geometry as CIF:
```
data_PmCdIn2
_chemical_formula_sum 'Pm4 Cd4 In8'
_cell_length_a 7.471
_cell_length_b 7.471
_cell_length_c 7.471
_cell_angle_alpha 90.00
_cell_angle_beta 90.00
_cell_angle_gamma 90.00
_symmetry_space_group_name_H-M 'F m -3 m'
_symmetry_Int_Tables_number 225
_symmetry_space_group_name_Hall '-F 4 2 3'
loop_
_atom_site_label
_atom_site_type_symbol
_atom_site_fract_x
_atom_site_fract_y
_atom_site_fract_z
_atom_site_occupancy
Pm1 Pm 0.000 0.000 0.000 1
Cd1 Cd 0.000 0.000 0.500 1
In1 In 0.250 0.250 0.250 1
```

3.
## Ta4TcW3 (PBE-GGA)

Data for Ta4TcW3 after structural relaxation.

Values from the calculation:
formation enthalpy at 0 K = -0.21 eV/atom
V = 134.61 Å³ per cell

Geometry as CIF:
```
data_Ta4TcW3
_chemical_formula_sum 'Ta4 Tc1 W3'
_cell_length_a 3.224
_cell_length_b 3.224
_cell_length_c 12.953
_cell_angle_alpha 90.00
_cell_angle_beta 90.00
_cell_angle_gamma 90.00
_symmetry_space_group_name_H-M 'P 4/m m m'
_symmetry_Int_Tables_number 123
_symmetry_space_group_name_Hall '-P 4 2'
loop_
_atom_site_label
_atom_site_type_symbol
_atom_site_fract_x
_atom_site_fract_y
_atom_site_fract_z
_atom_site_occupancy
Ta1 Ta 0.000 0.000 0.122 1
Ta2 Ta 0.000 0.000 0.374 1
Tc1 Tc 0.500 0.500 0.000 1
W1 W 0.500 0.500 0.249 1
W2 W 0.500 0.500 0.500 1
```

The lowest V belongs to which entry? Ta4TcW3

What is the V in the third record? 134.61 Å³ per cell

What did the third record say?
## Ta4TcW3 (PBE-GGA)

Data for Ta4TcW3 after structural relaxation.

Values from the calculation:
formation enthalpy at 0 K = -0.21 eV/atom
V = 134.61 Å³ per cell

Geometry as CIF:
```
data_Ta4TcW3
_chemical_formula_sum 'Ta4 Tc1 W3'
_cell_length_a 3.224
_cell_length_b 3.224
_cell_length_c 12.953
_cell_angle_alpha 90.00
_cell_angle_beta 90.00
_cell_angle_gamma 90.00
_symmetry_space_group_name_H-M 'P 4/m m m'
_symmetry_Int_Tables_number 123
_symmetry_space_group_name_Hall '-P 4 2'
loop_
_atom_site_label
_atom_site_type_symbol
_atom_site_fract_x
_atom_site_fract_y
_atom_site_fract_z
_atom_site_occupancy
Ta1 Ta 0.000 0.000 0.122 1
Ta2 Ta 0.000 0.000 0.374 1
Tc1 Tc 0.500 0.500 0.000 1
W1 W 0.500 0.500 0.249 1
W2 W 0.500 0.500 0.500 1
```

Which value of V does entry 1 give? 145.32 Å³ per cell